[1]
Below is an optimized crystal structure of Cs3HfV, with properties calculated at the PBE level.

Values from the calculation:
* E_tot: -2.091 eV per atom
* symmetry: Pm-3m, No. 221

Cell lengths 6.833, 6.833, 6.833 Å; angles 90.00, 90.00, 90.00 degrees
Sites, in units of the cell vectors:
Cs 0.000 0.000 0.500
Cs 0.000 0.500 0.000
Cs 0.500 0.000 0.000
Hf 0.000 0.000 0.000
V 0.500 0.500 0.500

***

[2]
Below is an optimized crystal structure of CsHf3V, with properties calculated at the PBE level.

Values from the calculation:
* E_tot: -6.833 eV per atom
* polymorph energy (0 for the lowest one): 0 kJ/mol of formula units
* symmetry: Pm-3m, No. 221

Cell lengths 5.144, 5.144, 5.144 Å; angles 90.00, 90.00, 90.00 degrees
Sites, in units of the cell vectors:
Cs 0.000 0.000 0.000
Hf 0.000 0.500 0.500
Hf 0.500 0.000 0.500
Hf 0.500 0.500 0.000
V 0.500 0.500 0.500

***

> Look up the E_tot of the first one.

-2.091 eV per atom

***

> The lowest E_tot belongs to which entry?

CsHf3V